Compound: Ta5Tc4Os
Source: the Alexandria database
Functional: PBE
Structure: relaxed

Cell: 3.186 3.186 15.940 Å, 90.00 90.00 90.00°
Positions (direct):
Ta  0.000  0.000  0.000
Ta  0.000  0.000  0.199
Ta  0.000  0.000  0.397
Ta  0.000  0.000  0.603
Ta  0.000  0.000  0.801
Tc  0.500  0.500  0.100
Tc  0.500  0.500  0.300
Tc  0.500  0.500  0.700
Tc  0.500  0.500  0.900
Os  0.500  0.500  0.500

Results
calculated total energy = -116.56 eV for the cell shown
formation energy from the elements = -4.608 eV/f.u.
crystal system = tetragonal